Record 1
A relaxed structure of Ba2BiC. Source: Alexandria, functional GGA-PBE.

abc: 8.294 8.294 8.294
angles: 90.00 90.00 90.00
Space group Fm-3m (No. 225)
One atom of each set of equivalent atoms:
Ba 0.250 0.250 0.250 (multiplicity 8)
Bi 0.000 0.000 0.000 (multiplicity 4)
C 0.000 0.000 0.500 (multiplicity 4)

Computed properties:
DOS(E_F) = 0.15 states/eV/cell
uncorrected energy = -3.679 eV/atom
DFT formation energy = 0.5586 eV/atom

=====

Record 2
A relaxed structure of BaCr2BiC. Source: Alexandria, functional GGA-PBE.

abc: 4.974 4.974 6.978
angles: 90.00 90.00 90.00
Space group P4/mmm (No. 123)
One atom of each set of equivalent atoms:
Ba 0.000 0.000 0.000 (multiplicity 1)
Cr 0.000 0.500 0.500 (multiplicity 2)
Bi 0.000 0.000 0.500 (multiplicity 1)
C 0.500 0.500 0.000 (multiplicity 1)

Computed properties:
DOS(E_F) = 14.87 states/eV/cell
uncorrected energy = -4.285 eV/atom
DFT formation energy = 2.5700 eV/atom

=====

Record 3
A relaxed structure of BaGaBiC2. Source: Alexandria, functional GGA-PBE.

abc: 4.591 4.591 5.405
angles: 90.00 90.00 90.00
Space group P4/mmm (No. 123)
One atom of each set of equivalent atoms:
Ba 0.000 0.000 0.000 (multiplicity 1)
Ga 0.500 0.500 0.500 (multiplicity 1)
Bi 0.500 0.500 0.000 (multiplicity 1)
C 0.000 0.500 0.500 (multiplicity 2)

Computed properties:
DOS(E_F) = 2.84 states/eV/cell
uncorrected energy = -3.823 eV/atom
DFT formation energy = 1.6327 eV/atom

=====

Record 4
A relaxed structure of BaNbBi2C. Source: Alexandria, functional GGA-PBE.

abc: 5.065 5.065 5.081
angles: 90.00 90.00 90.00
Space group P4/mmm (No. 123)
One atom of each set of equivalent atoms:
Ba 0.000 0.000 0.000 (multiplicity 1)
Nb 0.500 0.500 0.000 (multiplicity 1)
Bi 0.000 0.500 0.500 (multiplicity 2)
C 0.000 0.000 0.500 (multiplicity 1)

Computed properties:
DOS(E_F) = 7.92 states/eV/cell
uncorrected energy = -4.618 eV/atom
DFT formation energy = 1.1777 eV/atom

=====

Record 5
A relaxed structure of BaBiC2O6. Source: Alexandria, functional GGA-PBE.

abc: 9.808 9.569 7.114
angles: 90.00 106.52 90.00
Space group C2/c (No. 15)
One atom of each set of equivalent atoms:
Ba 0.000 0.085 0.250 (multiplicity 4)
Bi 0.000 0.474 0.750 (multiplicity 4)
C 0.232 0.117 0.665 (multiplicity 8)
O 0.116 0.184 0.640 (multiplicity 8)
O 0.142 0.328 0.254 (multiplicity 8)
O 0.231 0.014 0.107 (multiplicity 8)

Computed properties:
DOS(E_F) = 6.36 states/eV/cell
uncorrected energy = -7.088 eV/atom
uncorrected formation energy = -1.69 eV per atom

=====

Record 6
A relaxed structure of BaBi2OsC. Source: Alexandria, functional GGA-PBE.

abc: 5.172 5.172 6.508
angles: 90.00 90.00 90.00
Space group P4/mmm (No. 123)
One atom of each set of equivalent atoms:
Ba 0.000 0.000 0.000 (multiplicity 1)
Bi 0.000 0.500 0.500 (multiplicity 2)
Os 0.000 0.000 0.500 (multiplicity 1)
C 0.500 0.500 0.000 (multiplicity 1)

Computed properties:
DOS(E_F) = 3.15 states/eV/cell
uncorrected energy = -4.622 eV/atom
DFT formation energy = 1.4052 eV/atom

=====

Record 7
A relaxed structure of BaBiPb2C. Source: Alexandria, functional GGA-PBE.

abc: 6.448 6.448 4.488
angles: 90.00 90.00 90.00
Space group P4/mmm (No. 123)
One atom of each set of equivalent atoms:
Ba 0.000 0.000 0.000 (multiplicity 1)
Bi 0.500 0.500 0.500 (multiplicity 1)
Pb 0.000 0.500 0.000 (multiplicity 2)
C 0.000 0.000 0.500 (multiplicity 1)

Computed properties:
DOS(E_F) = 3.43 states/eV/cell
uncorrected energy = -2.951 eV/atom
DFT formation energy = 1.5382 eV/atom

=====

Record 8
A relaxed structure of BaSn2BiC. Source: Alexandria, functional GGA-PBE.

abc: 6.129 6.129 4.595
angles: 90.00 90.00 90.00
Space group P4/mmm (No. 123)
One atom of each set of equivalent atoms:
Ba 0.000 0.000 0.000 (multiplicity 1)
Sn 0.000 0.500 0.500 (multiplicity 2)
Bi 0.500 0.500 0.500 (multiplicity 1)
C 0.500 0.500 0.000 (multiplicity 1)

Computed properties:
DOS(E_F) = 5.20 states/eV/cell
uncorrected energy = -3.614 eV/atom
DFT formation energy = 0.9930 eV/atom